Run P
The following is a DFT calculation (GGA-PBE) of crystalline Li12Cd2Ag5 at its relaxed geometry. Values from VASP.

The structure in Quantum ESPRESSO input format:
```
&SYSTEM
  ibrav = 0, nat = 19, ntyp = 3
/
ATOMIC_SPECIES
Li 6.94 Li.upf
Cd 112.41 Cd.upf
Ag 107.87 Ag.upf
ATOMIC_POSITIONS crystal
Li 0.021 0.114 0.228
Li 0.800 0.046 0.590
Li 0.800 0.544 0.590
Li 0.408 0.139 0.795
Li 0.408 0.656 0.795
Li 0.683 0.431 0.862
Li 0.317 0.569 0.138
Li 0.592 0.861 0.205
Li 0.592 0.344 0.205
Li 0.200 0.954 0.410
Li 0.200 0.456 0.410
Li 0.979 0.886 0.772
Cd 0.000 0.737 0.000
Cd 0.000 0.263 0.000
Ag 0.550 0.223 0.446
Ag 0.126 0.340 0.680
Ag 0.500 0.000 0.000
Ag 0.874 0.660 0.320
Ag 0.450 0.777 0.554
CELL_PARAMETERS angstrom
5.097 -0.137 -0.410
-0.068 8.469 -3.674
-0.662 -1.506 8.141
```

Run Q
The following is a DFT calculation (GGA-PBE) of crystalline Li12Cd2Ag5 at its relaxed geometry. Values from VASP.

The structure in Quantum ESPRESSO input format:
```
&SYSTEM
  ibrav = 0, nat = 19, ntyp = 3
/
ATOMIC_SPECIES
Li 6.94 Li.upf
Cd 112.41 Cd.upf
Ag 107.87 Ag.upf
ATOMIC_POSITIONS crystal
Li 0.817 0.634 0.124
Li 0.019 0.641 0.773
Li 0.622 0.641 0.773
Li 0.156 0.782 0.375
Li 0.626 0.782 0.375
Li 0.444 0.888 0.720
Li 0.556 0.112 0.280
Li 0.844 0.218 0.625
Li 0.374 0.218 0.625
Li 0.981 0.359 0.227
Li 0.378 0.359 0.227
Li 0.183 0.366 0.876
Cd 0.796 0.000 0.000
Cd 0.204 0.000 0.000
Ag 0.253 0.505 0.515
Ag 0.355 0.710 0.090
Ag 0.000 0.000 0.500
Ag 0.645 0.290 0.910
Ag 0.747 0.495 0.485
CELL_PARAMETERS angstrom
7.489 0.000 0.000
-3.745 6.236 1.232
0.000 -0.914 7.010
```

So which one is most stable? That would be run P, about 1.5 kJ/mol of atoms below the next structure.